A geometry-optimized Sr3Fe2BiO9 structure, computed with PBE with a Hubbard U.

a b c (Å): 5.7010 5.7010 7.0470
angles (deg): 90.00 90.00 120.00
With the nearest neighbours (Å) after each atom.
Fractional positions:
Sr  0.0000  0.0000  0.0000  12 O 2.84-2.85
Sr  0.3333  0.6667  0.6850  12 O 2.76-3.01
Sr  0.6667  0.3333  0.3150  12 O 2.76-3.01
Fe  0.3333  0.6667  0.1560  6 O 1.98-1.99
Fe  0.6667  0.3333  0.8440  6 O 1.98-1.99
Bi  0.0000  0.0000  0.5000  6 O 2.10
O  0.0000  0.5000  0.0000  2 Fe 1.98
O  0.1709  0.3418  0.3234  1 Fe 1.99, 1 Bi 2.10
O  0.1709  0.8291  0.3234  1 Fe 1.99, 1 Bi 2.10
O  0.3418  0.1709  0.6766  1 Fe 1.99, 1 Bi 2.10
O  0.5000  0.0000  0.0000  2 Fe 1.98
O  0.5000  0.5000  0.0000  2 Fe 1.98
O  0.6582  0.8291  0.3234  1 Fe 1.99, 1 Bi 2.10
O  0.8291  0.1709  0.6766  1 Fe 1.99, 1 Bi 2.10
O  0.8291  0.6582  0.6766  1 Fe 1.99, 1 Bi 2.10

Summary:
Raw total energy (eV for the cell shown): -92.8
SG: No. 164
Total moment (μB/f.u.): 9.0
Volume (Å³/cell): 198.4
Density of states at the Fermi level (states/eV/cell): 1.8